i) This record from the Alexandria database describes a geometry-optimized Cs2MgCdCl6 structure. The functional is GGA-PBE.

Its magnetic moment is 0.0 μB/cell.

a b c (Å): 7.393 7.393 7.393
angles (deg): 60.00 60.00 60.00
Atoms (fractional coordinates):
Cs: 0.250 0.250 0.250
Cs: 0.750 0.750 0.750
Mg: 0.000 0.000 0.000
Cd: 0.500 0.500 0.500
Cl: 0.244 0.244 0.756
Cl: 0.244 0.756 0.244
Cl: 0.244 0.756 0.756
Cl: 0.756 0.244 0.244
Cl: 0.756 0.244 0.756
Cl: 0.756 0.756 0.244

---

ii) This record from the Alexandria database describes a geometry-optimized Cs2MgCdCl6 structure. The functional is GGA-PBE.

Its magnetic moment is 0.0 μB/cell.

a b c (Å): 13.115 13.115 13.115
angles (deg): 33.05 33.05 33.05
Atoms (fractional coordinates):
Cs: 0.126 0.126 0.126
Cs: 0.290 0.290 0.290
Cs: 0.710 0.710 0.710
Cs: 0.874 0.874 0.874
Mg: 0.000 0.000 0.000
Mg: 0.500 0.500 0.500
Cd: 0.411 0.411 0.411
Cd: 0.589 0.589 0.589
Cl: 0.147 0.615 0.615
Cl: 0.200 0.200 0.718
Cl: 0.200 0.718 0.200
Cl: 0.282 0.800 0.800
Cl: 0.385 0.385 0.853
Cl: 0.385 0.853 0.385
Cl: 0.615 0.147 0.615
Cl: 0.615 0.615 0.147
Cl: 0.718 0.200 0.200
Cl: 0.800 0.282 0.800
Cl: 0.800 0.800 0.282
Cl: 0.853 0.385 0.385

---

ii) ends up most stable, edging out the next structure by 17 meV per atom.

---

i) This record from the Alexandria database describes a geometry-optimized CsCdP2Cl structure. The functional is GGA-PBE.

Its magnetic moment is 6.1 μB/cell.

a b c (Å): 6.853 6.853 6.662
angles (deg): 90.00 90.00 90.00
Atoms (fractional coordinates):
Cs: 0.000 0.000 0.000
Cd: 0.500 0.500 0.500
P: 0.000 0.500 0.000
P: 0.500 0.000 0.000
Cl: 0.000 0.000 0.500

---

ii) This record from the Alexandria database describes a geometry-optimized CsCdP2Cl structure. The functional is GGA-PBE.

Its magnetic moment is 1.8 μB/cell.

a b c (Å): 5.068 5.068 6.234
angles (deg): 90.00 90.00 90.00
Atoms (fractional coordinates):
Cs: 0.000 0.000 0.000
Cd: 0.500 0.500 0.500
P: 0.000 0.500 0.500
P: 0.500 0.000 0.500
Cl: 0.500 0.500 0.000

---

ii) ends up most stable, edging out the next structure by 884 meV per atom.

---

i) This record from the Alexandria database describes a geometry-optimized CsCdSCl2 structure. The functional is GGA-PBE.

Its magnetic moment is 1.7 μB/cell.

a b c (Å): 6.326 6.326 5.656
angles (deg): 90.00 90.00 90.00
Atoms (fractional coordinates):
Cs: 0.000 0.000 0.000
Cd: 0.500 0.500 0.500
S: 0.000 0.000 0.500
Cl: 0.000 0.500 0.000
Cl: 0.500 0.000 0.000

---

ii) This record from the Alexandria database describes a geometry-optimized CsCdSCl2 structure. The functional is GGA-PBE.

Its magnetic moment is 1.0 μB/cell.

a b c (Å): 5.479 5.479 5.119
angles (deg): 90.00 90.00 90.00
Atoms (fractional coordinates):
Cs: 0.000 0.000 0.000
Cd: 0.500 0.500 0.500
S: 0.500 0.500 0.000
Cl: 0.000 0.500 0.500
Cl: 0.500 0.000 0.500

---

ii) ends up most stable, edging out the next structure by 1104 meV per atom.